1.
NbMo2W (PBE, relaxed); density of states at the Fermi level = 7.02 states/eV/cell; mass density = 11.58 g cm⁻³; total moment = 0.000 μB per cell
1.0
5.319 -2.683 0.000
5.319 2.683 0.000
-2.483 0.000 4.709
Nb Mo W
2 4 2
Cartesian
3.457 1.695 3.532 Nb
4.699 -1.695 1.177 Nb
2.071 0.303 1.160 Mo
0.829 -0.303 3.514 Mo
7.326 0.303 1.194 Mo
6.085 -0.303 3.549 Mo
4.699 0.981 1.177 W
3.457 -0.981 3.532 W

=====

2.
NbMo2W (PBE, relaxed); density of states at the Fermi level = 7.12 states/eV/cell; mass density = 10.96 g cm⁻³; total moment = 0.000 μB per cell
1.0
-3.606 3.606 2.730
3.606 -3.606 2.730
3.606 3.606 -2.730
Nb Mo W
2 4 2
Cartesian
0.000 0.000 0.000 Nb
0.000 3.606 1.365 Nb
1.803 -1.724 2.047 Mo
1.882 1.803 0.682 Mo
1.803 5.331 -0.682 Mo
1.724 1.803 3.412 Mo
3.606 0.000 1.365 W
0.000 0.000 2.730 W

=====

3.
NbMo2W (PBE, relaxed); density of states at the Fermi level = 2.14 states/eV/cell; mass density = 11.87 g cm⁻³; total moment = 0.000 μB per cell
1.0
0.000 3.201 3.201
3.201 0.000 3.201
3.201 3.201 0.000
Nb Mo W
1 2 1
Cartesian
0.000 0.000 0.000 Nb
1.600 1.600 1.600 Mo
4.801 4.801 4.801 Mo
3.201 3.201 3.201 W

=====

4.
NbMo2W (PBE, relaxed); density of states at the Fermi level = 3.38 states/eV/cell; mass density = 10.93 g cm⁻³; total moment = 0.000 μB per cell
1.0
-1.509 2.248 5.249
1.509 -2.248 5.249
1.509 2.248 -5.249
Nb Mo W
1 2 1
Cartesian
0.000 0.000 0.000 Nb
0.000 0.000 2.701 Mo
0.000 0.000 7.796 Mo
0.000 0.000 5.249 W

=====

The most stable arrangement is 3, and the next structure is 333 meV/atom less stable.

=====

1.
Nb2Mo3W2 (PBE, relaxed); density of states at the Fermi level = 3.72 states/eV/cell; mass density = 12.10 g cm⁻³; total moment = 0.000 μB per cell
1.0
3.199 0.000 0.000
1.576 5.085 0.000
0.005 0.998 7.098
Nb Mo W
2 3 2
Cartesian
0.799 0.537 1.034 Nb
3.982 5.546 6.064 Nb
2.383 4.550 4.036 Mo
2.388 2.543 0.000 Mo
2.397 1.533 3.063 Mo
0.796 2.541 5.048 W
3.985 3.542 2.050 W

=====

2.
Nb2Mo3W2 (PBE, relaxed); density of states at the Fermi level = 5.43 states/eV/cell; mass density = 11.16 g cm⁻³; total moment = 0.000 μB per cell
1.0
6.651 -2.218 0.000
6.651 2.218 0.000
-1.524 0.000 4.243
Nb Mo W
2 3 2
Cartesian
1.430 0.000 0.514 Nb
10.348 0.000 3.729 Nb
-0.762 0.000 2.122 Mo
2.216 0.000 3.194 Mo
9.562 0.000 1.049 Mo
4.431 0.000 1.597 W
7.347 0.000 2.647 W

=====

The most stable arrangement is 1, and the next structure is 417 meV/atom less stable.

=====

1.
Nb3Mo2W (PBE, relaxed); density of states at the Fermi level = 9.18 states/eV/cell; mass density = 10.17 g cm⁻³; total moment = 0.000 μB per cell
1.0
6.852 -2.247 0.000
6.852 2.247 0.000
-0.975 0.000 6.941
Nb Mo W
6 4 2
Cartesian
0.624 0.000 2.515 Nb
3.699 0.000 3.725 Nb
4.406 0.000 6.487 Nb
8.323 0.000 0.454 Nb
9.030 0.000 3.216 Nb
12.105 0.000 4.426 Nb
3.025 0.000 1.048 Mo
5.964 0.000 2.168 Mo
6.765 0.000 4.773 Mo
9.704 0.000 5.893 Mo
1.349 0.000 5.388 W
11.380 0.000 1.553 W

=====

2.
Nb3Mo2W (PBE, relaxed); density of states at the Fermi level = 8.59 states/eV/cell; mass density = 10.68 g cm⁻³; total moment = 0.000 μB per cell
1.0
-2.292 3.242 6.846
2.292 -3.242 6.846
2.292 3.242 -6.846
Nb Mo W
6 4 2
Cartesian
0.000 0.000 0.000 Nb
2.292 0.008 2.278 Nb
0.000 0.008 4.568 Nb
0.000 3.242 0.000 Nb
2.292 3.234 2.278 Nb
0.000 3.234 4.568 Nb
2.292 1.621 -0.011 Mo
0.000 1.621 2.279 Mo
2.292 1.621 4.567 Mo
0.000 1.621 6.857 Mo
2.292 -1.621 4.554 W
0.000 4.862 2.292 W

=====

The most stable arrangement is 2, and the next structure is 250 meV/atom less stable.

=====

1.
NbMo8W6 (PBE, relaxed); density of states at the Fermi level = 12.74 states/eV/cell; mass density = 12.59 g cm⁻³; total moment = 0.000 μB per cell
1.0
10.110 0.000 0.000
-5.055 8.755 0.000
0.000 0.000 2.925
Nb Mo W
1 8 6
Cartesian
0.000 0.000 0.000 Nb
-3.178 6.966 1.011 Mo
0.611 2.521 1.011 Mo
2.489 0.731 1.914 Mo
0.000 5.837 1.880 Mo
5.055 2.918 1.046 Mo
2.566 8.025 1.011 Mo
4.444 6.235 1.914 Mo
8.233 1.790 1.914 Mo
-1.350 4.118 0.417 W
-0.814 7.865 0.417 W
2.891 3.228 2.508 W
2.164 5.528 0.417 W
5.869 0.890 2.508 W
6.405 4.638 2.508 W

=====

2.
NbMo8W6 (PBE, relaxed); density of states at the Fermi level = 6.63 states/eV/cell; mass density = 12.86 g cm⁻³; total moment = 0.000 μB per cell
1.0
3.556 2.053 5.791
-3.556 2.053 5.791
0.000 -4.106 5.791
Nb Mo W
1 8 6
Cartesian
0.000 0.000 0.000 Nb
-0.900 -2.515 8.000 Mo
-2.628 -0.477 9.374 Mo
0.000 0.000 4.334 Mo
-1.727 2.037 8.000 Mo
1.727 -2.037 9.374 Mo
0.000 0.000 13.039 Mo
2.628 0.477 8.000 Mo
0.900 2.515 9.374 Mo
-1.715 -0.017 6.561 W
0.872 -1.477 6.561 W
-0.843 -1.493 10.812 W
0.843 1.493 6.561 W
-0.872 1.477 10.812 W
1.715 0.017 10.812 W

=====

The most stable arrangement is 2, and the next structure is 286 meV/atom less stable.

=====

1.
NbMoW2 (PBE, relaxed); density of states at the Fermi level = 11.92 states/eV/cell; mass density = 13.36 g cm⁻³; total moment = 0.000 μB per cell
1.0
7.222 0.000 0.000
0.000 3.212 0.000
0.000 0.000 11.929
Nb Mo W
4 4 8
Cartesian
1.806 0.803 1.818 Nb
1.805 2.409 7.783 Nb
5.417 0.803 4.146 Nb
5.416 2.409 10.111 Nb
0.362 0.803 10.851 Mo
3.249 2.409 4.886 Mo
3.973 0.803 7.043 Mo
6.860 2.409 1.078 Mo
0.346 2.409 3.624 W
1.120 0.803 5.570 W
2.491 2.409 11.534 W
3.265 0.803 9.589 W
3.957 2.409 2.340 W
4.731 0.803 0.395 W
6.102 2.409 6.359 W
6.876 0.803 8.305 W

=====

2.
NbMoW2 (PBE, relaxed); density of states at the Fermi level = 6.98 states/eV/cell; mass density = 12.90 g cm⁻³; total moment = 0.000 μB per cell
1.0
-3.634 3.634 2.713
3.634 -3.634 2.713
3.634 3.634 -2.713
Nb Mo W
2 2 4
Cartesian
0.000 0.000 0.000 Nb
0.000 3.634 1.356 Nb
3.634 0.000 1.356 Mo
0.000 0.000 2.713 Mo
1.817 1.916 -0.678 W
5.353 1.817 0.678 W
1.817 1.719 2.034 W
-1.719 1.817 3.391 W

=====

The most stable arrangement is 1, and the next structure is 516 meV/atom less stable.

=====

1.
Nb3MoW (PBE, relaxed); density of states at the Fermi level = 8.27 states/eV/cell; mass density = 10.79 g cm⁻³; total moment = 0.000 μB per cell
1.0
5.151 -1.619 0.000
5.151 1.619 0.000
-0.051 0.000 10.305
Nb Mo W
6 2 2
Cartesian
1.475 0.000 4.650 Nb
2.524 0.000 7.722 Nb
3.637 0.000 0.498 Nb
6.613 0.000 9.807 Nb
7.727 0.000 2.583 Nb
8.775 0.000 5.655 Nb
4.634 0.000 3.579 Mo
5.616 0.000 6.726 Mo
0.495 0.000 1.577 W
9.755 0.000 8.728 W

=====

2.
Nb3MoW (PBE, relaxed); density of states at the Fermi level = 10.12 states/eV/cell; mass density = 8.69 g cm⁻³; total moment = 0.000 μB per cell
1.0
4.743 0.000 0.000
0.000 4.743 0.000
0.000 0.000 4.743
Nb Mo W
3 1 1
Cartesian
0.000 0.000 2.372 Nb
0.000 2.372 0.000 Nb
2.372 0.000 0.000 Nb
0.000 0.000 0.000 Mo
2.372 2.372 2.372 W

=====

The most stable arrangement is 1, and the next structure is 1738 meV/atom less stable.